No. 1
VASP calculation (PBE) on an optimized crystal structure of TbSm6Y4. Values from VASP.

Calculated values
- Calculated volume: 381 Å³/cell
- E_form: 0.315 eV/atom
- Polymorph energy (0 for the lowest one): 0.195 eV/atom

The structure in Quantum ESPRESSO input format:
```
&SYSTEM
  ibrav = 0, nat = 11, ntyp = 3
/
ATOMIC_SPECIES
Y 88.91 Y.upf
Sm 150.36 Sm.upf
Tb 158.93 Tb.upf
CELL_PARAMETERS angstrom
-4.136 5.007 -1.583
-5.098 -4.312 -0.319
3.009 0.942 9.233
ATOMIC_POSITIONS crystal
Y 0.694 0.052 0.746
Y 0.306 0.306 0.254
Y 0.948 0.948 0.254
Y 0.052 0.694 0.746
Sm 0.862 0.487 0.349
Sm 0.500 0.000 0.000
Sm 0.513 0.513 0.651
Sm 0.487 0.862 0.349
Sm 0.138 0.138 0.651
Sm 0.000 0.500 0.000
Tb 0.500 0.500 0.000
```

---

No. 2
VASP calculation (PBE) on an optimized crystal structure of BaLi3Zn2. Values from VASP.

Calculated values
- Calculated volume: 292 Å³/cell
- E_form: -0.089 eV/atom
- Polymorph energy (0 for the lowest one): 0.013 eV/atom

The structure in Quantum ESPRESSO input format:
```
&SYSTEM
  ibrav = 0, nat = 12, ntyp = 3
/
ATOMIC_SPECIES
Zn 65.41 Zn.upf
Li 6.94 Li.upf
Ba 137.33 Ba.upf
CELL_PARAMETERS angstrom
-2.362 -1.761 -3.579
8.090 -1.644 -1.528
-3.783 -5.667 5.285
ATOMIC_POSITIONS crystal
Zn 0.826 0.652 0.338
Zn 0.174 0.348 0.662
Zn 0.481 0.962 0.835
Zn 0.519 0.038 0.165
Li 0.580 0.160 0.653
Li 0.031 0.062 0.360
Li 0.420 0.840 0.347
Li 0.682 0.364 0.453
Li 0.318 0.636 0.547
Li 0.969 0.938 0.640
Ba 0.157 0.314 0.075
Ba 0.843 0.686 0.925
```

---

No. 3
VASP calculation (PBE) on an optimized crystal structure of Tl4CdMo. Values from VASP.

Calculated values
- Calculated volume: 176 Å³/cell
- E_form: 0.822 eV/atom

The structure in Quantum ESPRESSO input format:
```
&SYSTEM
  ibrav = 0, nat = 6, ntyp = 3
/
ATOMIC_SPECIES
Tl 204.38 Tl.upf
Mo 95.94 Mo.upf
Cd 112.41 Cd.upf
CELL_PARAMETERS angstrom
3.283 1.811 5.051
-1.268 5.504 2.767
-2.744 0.117 5.659
ATOMIC_POSITIONS crystal
Tl 0.876 0.375 0.375
Tl 0.375 0.876 0.375
Tl 0.375 0.375 0.375
Tl 0.375 0.375 0.876
Mo 0.000 0.000 0.000
Cd 0.750 0.750 0.750
```

---

No. 4
VASP calculation (PBE) on an optimized crystal structure of Zn2Sb2Pb. Values from VASP.

Calculated values
- Calculated volume: 128 Å³/cell
- Formation energy without anion corrections: 0.04 eV/atom

The structure in Quantum ESPRESSO input format:
```
&SYSTEM
  ibrav = 0, nat = 5, ntyp = 3
/
ATOMIC_SPECIES
Sb 121.76 Sb.upf
Zn 65.41 Zn.upf
Pb 207.20 Pb.upf
CELL_PARAMETERS angstrom
4.122 0.000 0.000
0.000 4.122 0.000
2.061 2.061 7.529
ATOMIC_POSITIONS crystal
Sb 0.375 0.375 0.250
Sb 0.625 0.625 0.750
Zn 0.250 0.750 0.500
Zn 0.750 0.250 0.500
Pb 0.000 0.000 0.000
```

---

No. 5
VASP calculation (PBE) on an optimized crystal structure of Pr2Ho3Os2. Values from VASP.

Calculated values
- Calculated volume: 185 Å³/cell
- E_form: -0.065 eV/atom

The structure in Quantum ESPRESSO input format:
```
&SYSTEM
  ibrav = 0, nat = 7, ntyp = 3
/
ATOMIC_SPECIES
Ho 164.93 Ho.upf
Pr 140.91 Pr.upf
Os 190.23 Os.upf
CELL_PARAMETERS angstrom
4.741 -0.007 1.231
-0.901 5.779 3.510
0.579 0.985 7.546
ATOMIC_POSITIONS crystal
Ho 0.150 0.802 0.699
Ho 0.000 0.000 0.000
Ho 0.850 0.198 0.301
Pr 0.350 0.539 0.300
Pr 0.650 0.461 0.700
Os 0.608 0.970 0.784
Os 0.392 0.030 0.216
```

---

No. 6
VASP calculation (PBE) on an optimized crystal structure of NdEuGaPb. Values from VASP.

Calculated values
- Calculated volume: 115 Å³/cell
- E_form: -0.463 eV/atom

The structure in Quantum ESPRESSO input format:
```
&SYSTEM
  ibrav = 0, nat = 4, ntyp = 4
/
ATOMIC_SPECIES
Nd 144.24 Nd.upf
Eu 151.96 Eu.upf
Pb 207.20 Pb.upf
Ga 69.72 Ga.upf
CELL_PARAMETERS angstrom
5.461 0.000 0.000
2.730 4.729 0.000
2.730 1.576 4.459
ATOMIC_POSITIONS crystal
Nd 0.500 0.500 0.500
Eu 0.000 0.000 0.000
Pb 0.250 0.250 0.250
Ga 0.750 0.750 0.750
```

---

Number 1: total magnetic moment 0.00 μB/cell. Number 2: total magnetic moment 0.00 μB/cell. Number 3: total magnetic moment 4.25 μB/cell. Number 4: total magnetic moment 0.00 μB/cell. Number 5: total magnetic moment 0.00 μB/cell. Number 6: total magnetic moment 7.22 μB/cell.